Entry 1:
A plane-wave DFT calculation with PBE-GGA was carried out for an optimized crystal structure of HgPdPb2.

Properties
formation enthalpy at 0 K = 0.5 eV/f.u.

a b c (Å): 4.6949 4.6949 19.3532
angles (deg): 90.00 90.00 90.00
Space group I-42d (No. 122)
Asymmetric unit:
Hg  0.0000  0.0000  0.0000 [4 per cell]
Pd  0.0000  0.0000  0.5000 [4 per cell]
Pb  0.2288  0.2500  0.6250 [8 per cell]


Entry 2:
A plane-wave DFT calculation with PBE-GGA was carried out for an optimized crystal structure of PuHgPdPb.

Properties
formation enthalpy at 0 K = -0.8 eV/f.u.

a b c (Å): 7.2285 7.2285 7.2285
angles (deg): 90.00 90.00 90.00
Space group F-43m (No. 216)
Asymmetric unit:
Pu  0.0000  0.0000  0.0000 [4 per cell]
Hg  0.2500  0.2500  0.7500 [4 per cell]
Pd  0.2500  0.2500  0.2500 [4 per cell]
Pb  0.0000  0.0000  0.5000 [4 per cell]


Entry 3:
A plane-wave DFT calculation with PBE-GGA was carried out for an optimized crystal structure of RbHgPdPb.

Properties
formation enthalpy at 0 K = -0.6 eV/f.u.

a b c (Å): 4.8307 4.8307 19.6373
angles (deg): 90.00 90.00 120.00
Space group R3m (No. 160, hexagonal axes)
Asymmetric unit:
Rb  0.0000  0.0000  0.0000 [3 per cell]
Hg  0.0000  0.0000  0.1977 [3 per cell]
Pd  0.0000  0.0000  0.8316 [3 per cell]
Pb  0.0000  0.0000  0.4620 [3 per cell]


Entry 4:
A plane-wave DFT calculation with PBE-GGA was carried out for an optimized crystal structure of RbHgPdPb2.

Properties
formation enthalpy at 0 K = -0.2 eV/f.u.

a b c (Å): 5.4818 5.4818 5.4859
angles (deg): 90.00 90.00 90.00
Space group P4/mmm (No. 123)
Asymmetric unit:
Rb  0.0000  0.0000  0.0000 [1 per cell]
Hg  0.5000  0.5000  0.0000 [1 per cell]
Pd  0.5000  0.5000  0.5000 [1 per cell]
Pb  0.0000  0.5000  0.5000 [2 per cell]


Entry 5:
A plane-wave DFT calculation with PBE-GGA was carried out for an optimized crystal structure of Rb2HgPdPb.

Properties
formation enthalpy at 0 K = -0.3 eV/f.u.
E above lowest polymorph = 0.000 eV per atom

a b c (Å): 6.5769 6.5769 5.2240
angles (deg): 90.00 90.00 90.00
Space group P4/mmm (No. 123)
Asymmetric unit:
Rb  0.0000  0.5000  0.0000 [2 per cell]
Hg  0.0000  0.0000  0.5000 [1 per cell]
Pd  0.5000  0.5000  0.0000 [1 per cell]
Pb  0.5000  0.5000  0.5000 [1 per cell]


Entry 6:
A plane-wave DFT calculation with PBE-GGA was carried out for an optimized crystal structure of Rb2HgPdPb.

Properties
formation enthalpy at 0 K = 1.3 eV/f.u.
E above lowest polymorph = 0.322 eV per atom

a b c (Å): 6.6584 6.6584 5.1476
angles (deg): 90.00 90.00 90.00
Space group P4/mmm (No. 123)
Asymmetric unit:
Rb  0.0000  0.5000  0.0000 [2 per cell]
Hg  0.0000  0.0000  0.0000 [1 per cell]
Pd  0.0000  0.0000  0.5000 [1 per cell]
Pb  0.5000  0.5000  0.5000 [1 per cell]


Entry 7:
A plane-wave DFT calculation with PBE-GGA was carried out for an optimized crystal structure of HgPdRhPb.

Properties
formation enthalpy at 0 K = -0.1 eV/f.u.

a b c (Å): 6.6966 6.6966 6.6966
angles (deg): 90.00 90.00 90.00
Space group F-43m (No. 216)
Asymmetric unit:
Hg  0.0000  0.0000  0.0000 [4 per cell]
Pd  0.2500  0.2500  0.2500 [4 per cell]
Rh  0.2500  0.2500  0.7500 [4 per cell]
Pb  0.0000  0.0000  0.5000 [4 per cell]


Entry 8:
A plane-wave DFT calculation with PBE-GGA was carried out for an optimized crystal structure of HgSb2Pd7Pb2.

Properties
formation energy without anion corrections = -1.99 eV/f.u.

a b c (Å): 5.6240 5.5935 15.8713
angles (deg): 90.00 95.74 90.00
Space group C2/m (No. 12)
Asymmetric unit:
Hg  0.0000  0.0000  0.0000 [2 per cell]
Sb  0.1398  0.0000  0.4036 [4 per cell]
Pd  0.0000  0.5000  0.0000 [2 per cell]
Pd  0.1660  0.5000  0.4361 [4 per cell]
Pd  0.2116  0.2501  0.8659 [8 per cell]
Pb  0.0742  0.5000  0.2578 [4 per cell]


Entry 9:
A plane-wave DFT calculation with PBE-GGA was carried out for an optimized crystal structure of HgSb2PdPb.

Properties
formation energy without anion corrections = 2.91 eV/f.u.

a b c (Å): 5.5253 5.5253 5.1301
angles (deg): 90.00 90.00 90.00
Space group P4/mmm (No. 123)
Asymmetric unit:
Hg  0.0000  0.0000  0.0000 [1 per cell]
Sb  0.0000  0.5000  0.0000 [2 per cell]
Pd  0.0000  0.0000  0.5000 [1 per cell]
Pb  0.5000  0.5000  0.5000 [1 per cell]


Entry 10:
A plane-wave DFT calculation with PBE-GGA was carried out for an optimized crystal structure of SmHgPdPb.

Properties
formation enthalpy at 0 K = -1.9 eV/f.u.

a b c (Å): 7.2359 7.2359 7.2359
angles (deg): 90.00 90.00 90.00
Space group F-43m (No. 216)
Asymmetric unit:
Sm  0.0000  0.0000  0.0000 [4 per cell]
Hg  0.2500  0.2500  0.7500 [4 per cell]
Pd  0.2500  0.2500  0.2500 [4 per cell]
Pb  0.0000  0.0000  0.5000 [4 per cell]


Entry 11:
A plane-wave DFT calculation with PBE-GGA was carried out for an optimized crystal structure of SrHgPdPb.

Properties
formation enthalpy at 0 K = -1.6 eV/f.u.

a b c (Å): 7.4238 7.4238 7.4238
angles (deg): 90.00 90.00 90.00
Space group F-43m (No. 216)
Asymmetric unit:
Sr  0.0000  0.0000  0.0000 [4 per cell]
Hg  0.2500  0.2500  0.2500 [4 per cell]
Pd  0.2500  0.2500  0.7500 [4 per cell]
Pb  0.0000  0.0000  0.5000 [4 per cell]


Entry 12:
A plane-wave DFT calculation with PBE-GGA was carried out for an optimized crystal structure of SrHg2PdPb.

Properties
formation enthalpy at 0 K = -1.1 eV/f.u.

a b c (Å): 5.2953 5.2953 5.3471
angles (deg): 90.00 90.00 90.00
Space group P4/mmm (No. 123)
Asymmetric unit:
Sr  0.0000  0.0000  0.0000 [1 per cell]
Hg  0.0000  0.5000  0.5000 [2 per cell]
Pd  0.5000  0.5000  0.5000 [1 per cell]
Pb  0.5000  0.5000  0.0000 [1 per cell]